Run P
Material: La2Pr4Er5
Method: DFT, GGA-PBE
State: relaxed

Values from the calculation:
Space-group type: C2/m, No. 12

```
data_La2Pr4Er5
_symmetry_space_group_name_H-M 'P 1'
_symmetry_Int_Tables_number 1
_cell_length_a 3.565
_cell_length_b 11.859
_cell_length_c 9.075
_cell_angle_alpha 94.58
_cell_angle_beta 101.33
_cell_angle_gamma 90.00
loop_
_symmetry_equiv_pos_as_xyz
'x,y,z'
loop_
_atom_site_label
_atom_site_type_symbol
_atom_site_fract_x
_atom_site_fract_y
_atom_site_fract_z
La1 La 0.714 0.350 0.428
La2 La 0.286 0.650 0.572
Er1 Er 0.823 0.935 0.646
Er2 Er 0.177 0.065 0.354
Er3 Er 0.906 0.458 0.812
Er4 Er 0.500 0.000 0.000
Er5 Er 0.094 0.542 0.188
Pr1 Pr 0.035 0.256 0.070
Pr2 Pr 0.965 0.744 0.930
Pr3 Pr 0.641 0.799 0.283
Pr4 Pr 0.359 0.201 0.717
```

Run Q
Material: La2Pr4Er5
Method: DFT, GGA-PBE
State: relaxed

Values from the calculation:
Space-group type: Immm, No. 71

```
data_La2Pr4Er5
_symmetry_space_group_name_H-M 'P 1'
_symmetry_Int_Tables_number 1
_cell_length_a 3.543
_cell_length_b 9.294
_cell_length_c 12.689
_cell_angle_alpha 111.48
_cell_angle_beta 98.03
_cell_angle_gamma 90.00
loop_
_symmetry_equiv_pos_as_xyz
'x,y,z'
loop_
_atom_site_label
_atom_site_type_symbol
_atom_site_fract_x
_atom_site_fract_y
_atom_site_fract_z
La1 La 0.732 0.732 0.465
La2 La 0.268 0.268 0.535
Pr1 Pr 0.597 0.597 0.195
Pr2 Pr 0.000 0.704 0.000
Pr3 Pr 0.000 0.296 0.000
Pr4 Pr 0.403 0.403 0.805
Er1 Er 0.141 0.330 0.281
Er2 Er 0.859 0.049 0.719
Er3 Er 0.141 0.951 0.281
Er4 Er 0.500 0.000 0.000
Er5 Er 0.859 0.670 0.719
```

Tell me which of them is the most stable. Sure, it is run P.

Run P
Material: La7PrEr2
Method: DFT, GGA-PBE
State: relaxed

Values from the calculation:
Space-group type: Cmmm, No. 65

```
data_La7PrEr2
_symmetry_space_group_name_H-M 'P 1'
_symmetry_Int_Tables_number 1
_cell_length_a 5.871
_cell_length_b 9.257
_cell_length_c 9.257
_cell_angle_alpha 120.99
_cell_angle_beta 90.00
_cell_angle_gamma 90.00
loop_
_symmetry_equiv_pos_as_xyz
'x,y,z'
loop_
_atom_site_label
_atom_site_type_symbol
_atom_site_fract_x
_atom_site_fract_y
_atom_site_fract_z
La1 La 0.500 0.934 0.701
La2 La 0.500 0.500 0.500
La3 La 0.500 0.299 0.066
La4 La 0.500 0.701 0.934
La5 La 0.000 0.239 0.761
La6 La 0.500 0.066 0.299
La7 La 0.000 0.761 0.239
Er1 Er 0.500 0.703 0.297
Er2 Er 0.500 0.297 0.703
Pr1 Pr 0.000 0.000 0.000
```

Run Q
Material: La7PrEr2
Method: DFT, GGA-PBE
State: relaxed

Values from the calculation:
Space-group type: P-1, No. 2

```
data_La7PrEr2
_symmetry_space_group_name_H-M 'P 1'
_symmetry_Int_Tables_number 1
_cell_length_a 6.393
_cell_length_b 9.747
_cell_length_c 9.795
_cell_angle_alpha 142.06
_cell_angle_beta 70.69
_cell_angle_gamma 102.78
loop_
_symmetry_equiv_pos_as_xyz
'x,y,z'
loop_
_atom_site_label
_atom_site_type_symbol
_atom_site_fract_x
_atom_site_fract_y
_atom_site_fract_z
La1 La 0.096 0.495 0.799
La2 La 0.698 0.494 0.597
La3 La 0.500 0.500 0.000
La4 La 0.302 0.506 0.403
La5 La 0.394 0.999 0.203
La6 La 0.904 0.505 0.201
La7 La 0.606 0.001 0.797
Pr1 Pr 0.000 0.000 0.000
Er1 Er 0.203 0.001 0.598
Er2 Er 0.797 0.999 0.402
```

Tell me which of them is the most stable. Sure, it is run Q.

Run P
Material: La3PrEr
Method: DFT, GGA-PBE
State: relaxed

Values from the calculation:
Space-group type: P-1, No. 2

```
data_La3PrEr
_symmetry_space_group_name_H-M 'P 1'
_symmetry_Int_Tables_number 1
_cell_length_a 8.214
_cell_length_b 10.433
_cell_length_c 6.388
_cell_angle_alpha 114.14
_cell_angle_beta 130.26
_cell_angle_gamma 89.77
loop_
_symmetry_equiv_pos_as_xyz
'x,y,z'
loop_
_atom_site_label
_atom_site_type_symbol
_atom_site_fract_x
_atom_site_fract_y
_atom_site_fract_z
Er1 Er 0.597 0.096 0.396
Er2 Er 0.403 0.904 0.604
La1 La 0.203 0.704 0.803
La2 La 0.403 0.397 0.603
La3 La 0.799 0.803 0.198
La4 La 0.797 0.296 0.197
La5 La 0.597 0.603 0.397
La6 La 0.201 0.197 0.802
Pr1 Pr 0.000 0.500 0.000
Pr2 Pr 0.000 0.000 0.000
```

Run Q
Material: La3PrEr
Method: DFT, GGA-PBE
State: relaxed

Values from the calculation:
Space-group type: Cmcm, No. 63

```
data_La3PrEr
_symmetry_space_group_name_H-M 'P 1'
_symmetry_Int_Tables_number 1
_cell_length_a 8.224
_cell_length_b 8.224
_cell_length_c 6.327
_cell_angle_alpha 90.00
_cell_angle_beta 90.00
_cell_angle_gamma 58.90
loop_
_symmetry_equiv_pos_as_xyz
'x,y,z'
loop_
_atom_site_label
_atom_site_type_symbol
_atom_site_fract_x
_atom_site_fract_y
_atom_site_fract_z
La1 La 0.400 0.805 0.750
La2 La 0.000 0.000 0.500
La3 La 0.600 0.195 0.250
La4 La 0.195 0.600 0.250
La5 La 0.805 0.400 0.750
La6 La 0.000 0.000 0.000
Er1 Er 0.329 0.329 0.750
Er2 Er 0.671 0.671 0.250
Pr1 Pr 0.800 0.800 0.750
Pr2 Pr 0.200 0.200 0.250
```

Tell me which of them is the most stable. Sure, it is run P.

Run P
Material: La8Pr2Er
Method: DFT, GGA-PBE
State: relaxed

Values from the calculation:
Space-group type: Immm, No. 71

```
data_La8Pr2Er
_symmetry_space_group_name_H-M 'P 1'
_symmetry_Int_Tables_number 1
_cell_length_a 5.812
_cell_length_b 8.343
_cell_length_c 9.728
_cell_angle_alpha 115.38
_cell_angle_beta 107.38
_cell_angle_gamma 90.00
loop_
_symmetry_equiv_pos_as_xyz
'x,y,z'
loop_
_atom_site_label
_atom_site_type_symbol
_atom_site_fract_x
_atom_site_fract_y
_atom_site_fract_z
La1 La 0.366 0.163 0.732
La2 La 0.158 0.158 0.316
La3 La 0.842 0.842 0.684
La4 La 0.000 0.710 0.000
La5 La 0.366 0.568 0.732
La6 La 0.000 0.290 0.000
La7 La 0.634 0.432 0.268
La8 La 0.634 0.837 0.268
Pr1 Pr 0.798 0.298 0.596
Pr2 Pr 0.202 0.702 0.404
Er1 Er 0.500 0.000 0.000
```

Run Q
Material: La8Pr2Er
Method: DFT, GGA-PBE
State: relaxed

Values from the calculation:
Space-group type: C2/m, No. 12

```
data_La8Pr2Er
_symmetry_space_group_name_H-M 'P 1'
_symmetry_Int_Tables_number 1
_cell_length_a 6.106
_cell_length_b 9.308
_cell_length_c 9.689
_cell_angle_alpha 61.29
_cell_angle_beta 74.49
_cell_angle_gamma 56.18
loop_
_symmetry_equiv_pos_as_xyz
'x,y,z'
loop_
_atom_site_label
_atom_site_type_symbol
_atom_site_fract_x
_atom_site_fract_y
_atom_site_fract_z
Pr1 Pr 0.000 0.309 0.382
Pr2 Pr 0.000 0.691 0.618
La1 La 0.818 0.097 0.233
La2 La 0.818 0.330 0.767
La3 La 0.500 0.795 0.409
La4 La 0.299 0.419 0.000
La5 La 0.500 0.205 0.591
La6 La 0.182 0.903 0.767
La7 La 0.701 0.581 0.000
La8 La 0.182 0.670 0.233
Er1 Er 0.500 0.000 0.000
```

Tell me which of them is the most stable. Sure, it is run P.

Run P
Material: La3Pr4Er
Method: DFT, GGA-PBE
State: relaxed

Values from the calculation:
Space-group type: C2/m, No. 12

```
data_La3Pr4Er
_symmetry_space_group_name_H-M 'P 1'
_symmetry_Int_Tables_number 1
_cell_length_a 3.549
_cell_length_b 6.329
_cell_length_c 13.114
_cell_angle_alpha 95.09
_cell_angle_beta 97.78
_cell_angle_gamma 90.00
loop_
_symmetry_equiv_pos_as_xyz
'x,y,z'
loop_
_atom_site_label
_atom_site_type_symbol
_atom_site_fract_x
_atom_site_fract_y
_atom_site_fract_z
Pr1 Pr 0.721 0.241 0.443
Pr2 Pr 0.279 0.759 0.557
Pr3 Pr 0.105 0.233 0.210
Pr4 Pr 0.895 0.767 0.790
La1 La 0.856 0.255 0.711
La2 La 0.144 0.745 0.289
La3 La 0.000 0.500 0.000
Er1 Er 0.500 0.000 0.000
```

Run Q
Material: La3Pr4Er
Method: DFT, GGA-PBE
State: relaxed

Values from the calculation:
Space-group type: C2/m, No. 12

```
data_La3Pr4Er
_symmetry_space_group_name_H-M 'P 1'
_symmetry_Int_Tables_number 1
_cell_length_a 3.722
_cell_length_b 6.425
_cell_length_c 15.468
_cell_angle_alpha 128.50
_cell_angle_beta 96.91
_cell_angle_gamma 90.00
loop_
_symmetry_equiv_pos_as_xyz
'x,y,z'
loop_
_atom_site_label
_atom_site_type_symbol
_atom_site_fract_x
_atom_site_fract_y
_atom_site_fract_z
Pr1 Pr 0.123 0.537 0.246
Pr2 Pr 0.376 0.960 0.751
Pr3 Pr 0.624 0.040 0.249
Pr4 Pr 0.877 0.463 0.754
La1 La 0.251 0.252 0.501
La2 La 0.000 0.500 0.000
La3 La 0.749 0.748 0.499
Er1 Er 0.500 0.000 0.000
```

Tell me which of them is the most stable. Sure, it is run Q.

Run P
Material: LaPr2Er4
Method: DFT, GGA-PBE
State: relaxed

Values from the calculation:
Space-group type: Cmcm, No. 63

```
data_LaPr2Er4
_symmetry_space_group_name_H-M 'P 1'
_symmetry_Int_Tables_number 1
_cell_length_a 6.933
_cell_length_b 6.933
_cell_length_c 11.542
_cell_angle_alpha 90.00
_cell_angle_beta 90.00
_cell_angle_gamma 121.26
loop_
_symmetry_equiv_pos_as_xyz
'x,y,z'
loop_
_atom_site_label
_atom_site_type_symbol
_atom_site_fract_x
_atom_site_fract_y
_atom_site_fract_z
Er1 Er 0.279 0.721 0.523
Er2 Er 0.779 0.779 0.500
Er3 Er 0.221 0.221 0.500
Er4 Er 0.779 0.779 0.000
Er5 Er 0.221 0.221 0.000
Er6 Er 0.721 0.279 0.023
Er7 Er 0.279 0.721 0.977
Er8 Er 0.721 0.279 0.477
La1 La 0.118 0.882 0.750
La2 La 0.882 0.118 0.250
Pr1 Pr 0.171 0.829 0.250
Pr2 Pr 0.483 0.517 0.250
Pr3 Pr 0.829 0.171 0.750
Pr4 Pr 0.517 0.483 0.750
```

Run Q
Material: LaPr2Er4
Method: DFT, GGA-PBE
State: relaxed

Values from the calculation:
Space-group type: Imma, No. 74

```
data_LaPr2Er4
_symmetry_space_group_name_H-M 'P 1'
_symmetry_Int_Tables_number 1
_cell_length_a 9.110
_cell_length_b 9.110
_cell_length_c 9.113
_cell_angle_alpha 136.94
_cell_angle_beta 101.19
_cell_angle_gamma 94.31
loop_
_symmetry_equiv_pos_as_xyz
'x,y,z'
loop_
_atom_site_label
_atom_site_type_symbol
_atom_site_fract_x
_atom_site_fract_y
_atom_site_fract_z
Pr1 Pr 0.625 0.875 0.250
Pr2 Pr 0.625 0.375 0.250
Pr3 Pr 0.125 0.375 0.750
Pr4 Pr 0.625 0.375 0.750
Er1 Er 0.753 0.010 0.742
Er2 Er 0.886 0.115 0.229
Er3 Er 0.268 0.011 0.258
Er4 Er 0.498 0.740 0.758
Er5 Er 0.364 0.635 0.271
Er6 Er 0.364 0.094 0.729
Er7 Er 0.886 0.656 0.771
Er8 Er 0.982 0.739 0.242
La1 La 0.102 0.602 0.500
La2 La 0.148 0.148 0.000
```

Tell me which of them is the most stable. Sure, it is run P.

Run P
Material: LaPrEr3
Method: DFT, GGA-PBE
State: relaxed

Values from the calculation:
Space-group type: C2/m, No. 12

```
data_LaPrEr3
_symmetry_space_group_name_H-M 'P 1'
_symmetry_Int_Tables_number 1
_cell_length_a 6.229
_cell_length_b 6.229
_cell_length_c 11.293
_cell_angle_alpha 90.02
_cell_angle_beta 90.02
_cell_angle_gamma 130.27
loop_
_symmetry_equiv_pos_as_xyz
'x,y,z'
loop_
_atom_site_label
_atom_site_type_symbol
_atom_site_fract_x
_atom_site_fract_y
_atom_site_fract_z
Er1 Er 0.000 0.000 0.330
Er2 Er 0.653 0.347 0.198
Er3 Er 0.000 0.000 0.670
Er4 Er 0.347 0.653 0.198
Er5 Er 0.653 0.347 0.802
Er6 Er 0.347 0.653 0.802
Pr1 Pr 0.865 0.135 0.000
Pr2 Pr 0.135 0.865 0.000
La1 La 0.347 0.653 0.500
La2 La 0.653 0.347 0.500
```

Run Q
Material: LaPrEr3
Method: DFT, GGA-PBE
State: relaxed

Values from the calculation:
Space-group type: P2_1/m, No. 11

```
data_LaPrEr3
_symmetry_space_group_name_H-M 'P 1'
_symmetry_Int_Tables_number 1
_cell_length_a 3.684
_cell_length_b 8.594
_cell_length_c 11.556
_cell_angle_alpha 90.00
_cell_angle_beta 90.00
_cell_angle_gamma 101.22
loop_
_symmetry_equiv_pos_as_xyz
'x,y,z'
loop_
_atom_site_label
_atom_site_type_symbol
_atom_site_fract_x
_atom_site_fract_y
_atom_site_fract_z
Er1 Er 0.169 0.817 0.496
Er2 Er 0.831 0.183 0.504
Er3 Er 0.304 0.183 0.750
Er4 Er 0.696 0.817 0.250
Er5 Er 0.169 0.817 0.004
Er6 Er 0.831 0.183 0.996
Pr1 Pr 0.100 0.485 0.250
Pr2 Pr 0.900 0.515 0.750
La1 La 0.656 0.864 0.750
La2 La 0.344 0.136 0.250
```

Tell me which of them is the most stable. Sure, it is run P.

Run P
Material: LaPr4Er7
Method: DFT, GGA-PBE
State: relaxed

Values from the calculation:
Space-group type: C2/m, No. 12

```
data_LaPr4Er7
_symmetry_space_group_name_H-M 'P 1'
_symmetry_Int_Tables_number 1
_cell_length_a 5.935
_cell_length_b 11.724
_cell_length_c 6.791
_cell_angle_alpha 83.14
_cell_angle_beta 64.09
_cell_angle_gamma 75.34
loop_
_symmetry_equiv_pos_as_xyz
'x,y,z'
loop_
_atom_site_label
_atom_site_type_symbol
_atom_site_fract_x
_atom_site_fract_y
_atom_site_fract_z
Er1 Er 0.633 0.502 0.231
Er2 Er 0.934 0.321 0.812
Er3 Er 0.211 0.077 0.502
Er4 Er 0.367 0.498 0.769
Er5 Er 0.066 0.679 0.188
Er6 Er 0.789 0.923 0.498
Er7 Er 0.500 0.000 0.000
Pr1 Pr 0.770 0.670 0.789
Pr2 Pr 0.230 0.330 0.211
Pr3 Pr 0.633 0.223 0.511
Pr4 Pr 0.367 0.777 0.489
La1 La 0.000 0.000 0.000
```

Run Q
Material: LaPr4Er7
Method: DFT, GGA-PBE
State: relaxed

Values from the calculation:
Space-group type: P-1, No. 2

```
data_LaPr4Er7
_symmetry_space_group_name_H-M 'P 1'
_symmetry_Int_Tables_number 1
_cell_length_a 7.173
_cell_length_b 8.045
_cell_length_c 8.030
_cell_angle_alpha 84.18
_cell_angle_beta 102.35
_cell_angle_gamma 63.27
loop_
_symmetry_equiv_pos_as_xyz
'x,y,z'
loop_
_atom_site_label
_atom_site_type_symbol
_atom_site_fract_x
_atom_site_fract_y
_atom_site_fract_z
Er1 Er 0.749 0.503 0.999
Er2 Er 0.251 0.497 0.001
Er3 Er 0.500 0.000 0.000
Er4 Er 0.750 0.166 0.333
Er5 Er 0.250 0.834 0.667
Er6 Er 0.999 0.667 0.332
Er7 Er 0.001 0.333 0.668
Pr1 Pr 0.501 0.664 0.332
Pr2 Pr 0.753 0.830 0.667
Pr3 Pr 0.499 0.336 0.668
Pr4 Pr 0.247 0.170 0.333
La1 La 0.000 0.000 0.000
```

Tell me which of them is the most stable. Sure, it is run Q.